Record 1
A plane-wave DFT calculation with PBE-GGA was carried out for a relaxed structure of Mg8In2Hg.

The calculated formation energy comes out at -0.03 eV per atom. The magnetic moment is 0.00 Bohr magnetons per cell. Its symmetry is C2/m (12). The electronic total energy is -1.7169 eV/atom. The mass density comes out at 3.968 Mg/m³.

a = 7.903 Å, b = 7.903 Å, c = 5.227 Å
α = 102.46°, β = 102.46°, γ = 118.11°
Fractional coordinates of all 11 atoms:
Mg 0.098 0.319 0.623
Mg 0.211 0.789 0.000
Mg 0.319 0.098 0.623
Mg 0.390 0.390 0.187
Mg 0.610 0.610 0.813
Mg 0.681 0.902 0.377
Mg 0.789 0.211 0.000
Mg 0.902 0.681 0.377
In 0.304 0.696 0.500
In 0.696 0.304 0.500
Hg 0.000 0.000 0.000


Record 2
A plane-wave DFT calculation with PBE-GGA was carried out for a relaxed structure of La2Ho3Sc8.

The calculated formation energy comes out at 0.26 eV per atom. The magnetic moment is 0.00 Bohr magnetons per cell. Its symmetry is R-3m (166). The electronic total energy is -5.4478 eV/atom. The mass density comes out at 4.936 Mg/m³.

a = 11.913 Å, b = 11.913 Å, c = 11.913 Å
α = 30.28°, β = 30.28°, γ = 30.28°
Fractional coordinates of all 13 atoms:
La 0.137 0.137 0.137
La 0.863 0.863 0.863
Ho 0.314 0.314 0.314
Ho 0.500 0.500 0.500
Ho 0.686 0.686 0.686
Sc 0.228 0.228 0.228
Sc 0.228 0.228 0.723
Sc 0.228 0.723 0.228
Sc 0.277 0.772 0.772
Sc 0.723 0.228 0.228
Sc 0.772 0.277 0.772
Sc 0.772 0.772 0.277
Sc 0.772 0.772 0.772


Record 3
A plane-wave DFT calculation with PBE-GGA was carried out for a relaxed structure of Er7TmIn4.

The calculated formation energy comes out at -0.07 eV per atom. The magnetic moment is 0.00 Bohr magnetons per cell. Its symmetry is C2/m (12). The electronic total energy is -4.0151 eV/atom. The mass density comes out at 8.617 Mg/m³.

a = 7.775 Å, b = 7.775 Å, c = 10.161 Å
α = 120.84°, β = 120.84°, γ = 42.52°
Fractional coordinates of all 12 atoms:
Er 0.000 0.000 0.000
Er 0.230 0.230 0.676
Er 0.290 0.290 0.122
Er 0.434 0.434 0.598
Er 0.566 0.566 0.402
Er 0.710 0.710 0.878
Er 0.770 0.770 0.324
Tm 0.500 0.500 0.000
In 0.058 0.058 0.747
In 0.181 0.181 0.337
In 0.819 0.819 0.663
In 0.942 0.942 0.253


Record 4
A plane-wave DFT calculation with PBE-GGA was carried out for a relaxed structure of ScU2Tc5.

The calculated formation energy comes out at -0.08 eV per atom. The magnetic moment is 0.00 Bohr magnetons per cell. Its symmetry is I4/mmm (139). The electronic total energy is -10.1745 eV/atom. The mass density comes out at 12.221 Mg/m³.

a = 5.631 Å, b = 5.631 Å, c = 5.631 Å
α = 110.05°, β = 110.05°, γ = 108.33°
Fractional coordinates of all 8 atoms:
Sc 0.000 0.000 0.000
U 0.000 0.500 0.500
U 0.500 0.000 0.500
Tc 0.000 0.000 0.500
Tc 0.000 0.500 0.000
Tc 0.500 0.000 0.000
Tc 0.500 0.500 0.000
Tc 0.500 0.500 0.500


Record 5
A plane-wave DFT calculation with PBE-GGA was carried out for a relaxed structure of CeNdDyCd.

The calculated formation energy comes out at 0.06 eV per atom. The magnetic moment is 1.25 Bohr magnetons per cell. Its symmetry is F-43m (216). The electronic total energy is -3.9966 eV/atom. The mass density comes out at 8.113 Mg/m³.

a = 5.450 Å, b = 5.450 Å, c = 5.450 Å
α = 60.00°, β = 60.00°, γ = 60.00°
Fractional coordinates of all 4 atoms:
Ce 0.000 0.000 0.000
Nd 0.250 0.250 0.250
Dy 0.750 0.750 0.750
Cd 0.500 0.500 0.500


Record 6
A plane-wave DFT calculation with PBE-GGA was carried out for a relaxed structure of Ag2HgBiW.

The calculated formation energy comes out at 1.17 eV per atom. The magnetic moment is 0.00 Bohr magnetons per cell. Its symmetry is P4/mmm (123). The electronic total energy is -3.3993 eV/atom. The mass density comes out at 9.155 Mg/m³.

a = 5.281 Å, b = 5.281 Å, c = 5.262 Å
α = 90.00°, β = 90.00°, γ = 90.00°
Fractional coordinates of all 5 atoms:
Ag 0.000 0.500 0.000
Ag 0.500 0.000 0.000
Hg 0.000 0.000 0.500
Bi 0.500 0.500 0.500
W 0.500 0.500 0.000


Record 7
A plane-wave DFT calculation with PBE-GGA was carried out for a relaxed structure of Ac3Tl3Ag2.

The calculated formation energy comes out at -0.31 eV per atom. The magnetic moment is 0.00 Bohr magnetons per cell. Its symmetry is Cmcm (63). The electronic total energy is -3.4525 eV/atom. The mass density comes out at 10.053 Mg/m³.

a = 6.405 Å, b = 6.405 Å, c = 16.908 Å
α = 90.00°, β = 90.00°, γ = 134.02°
Fractional coordinates of all 16 atoms:
Ac 0.097 0.903 0.605
Ac 0.097 0.903 0.895
Ac 0.364 0.636 0.750
Ac 0.636 0.364 0.250
Ac 0.903 0.097 0.105
Ac 0.903 0.097 0.395
Tl 0.350 0.650 0.250
Tl 0.382 0.618 0.540
Tl 0.382 0.618 0.960
Tl 0.618 0.382 0.040
Tl 0.618 0.382 0.460
Tl 0.650 0.350 0.750
Ag 0.201 0.799 0.106
Ag 0.201 0.799 0.394
Ag 0.799 0.201 0.606
Ag 0.799 0.201 0.894


Record 8
A plane-wave DFT calculation with PBE-GGA was carried out for a relaxed structure of CuPO4.

The magnetic moment is 0.00 Bohr magnetons per cell. The value obtained for the formation energy without anion corrections is -1.3715 eV/atom. Its symmetry is I-4 (82). The electronic total energy is -6.2613 eV/atom. The mass density comes out at 3.433 Mg/m³.

a = 4.649 Å, b = 4.649 Å, c = 4.649 Å
α = 106.53°, β = 106.53°, γ = 115.52°
Fractional coordinates of all 6 atoms:
Cu 0.000 0.000 0.000
P 0.250 0.750 0.500
O 0.202 0.381 0.431
O 0.229 0.798 0.179
O 0.619 0.051 0.821
O 0.949 0.771 0.569


Record 9
A plane-wave DFT calculation with PBE-GGA was carried out for a relaxed structure of Cd4BiB3O10.

The magnetic moment is 0.00 Bohr magnetons per cell. The value obtained for the formation energy without anion corrections is -1.6851 eV/atom. Its symmetry is Cm (8). The electronic total energy is -5.9715 eV/atom. The mass density comes out at 6.158 Mg/m³.

a = 9.007 Å, b = 9.007 Å, c = 3.570 Å
α = 94.59°, β = 94.59°, γ = 126.37°
Fractional coordinates of all 18 atoms:
Cd 0.114 0.886 0.000
Cd 0.444 0.804 0.322
Cd 0.804 0.444 0.322
Cd 0.886 0.114 0.000
Bi 0.358 0.358 0.675
B 0.107 0.505 0.756
B 0.505 0.107 0.756
B 0.737 0.737 0.378
O 0.051 0.596 0.959
O 0.172 0.172 0.092
O 0.298 0.591 0.761
O 0.327 0.973 0.555
O 0.564 0.564 0.266
O 0.591 0.298 0.761
O 0.596 0.051 0.959
O 0.745 0.896 0.433
O 0.896 0.745 0.433
O 0.973 0.327 0.555


Record 10
A plane-wave DFT calculation with PBE-GGA was carried out for a relaxed structure of AlAg2Pb.

The calculated formation energy comes out at 0.20 eV per atom. The magnetic moment is 0.00 Bohr magnetons per cell. Its symmetry is Fm-3m (225). The electronic total energy is -3.0904 eV/atom. The mass density comes out at 8.742 Mg/m³.

a = 4.944 Å, b = 4.944 Å, c = 4.944 Å
α = 60.00°, β = 60.00°, γ = 60.00°
Fractional coordinates of all 4 atoms:
Al 0.000 0.000 0.000
Ag 0.250 0.250 0.250
Ag 0.750 0.750 0.750
Pb 0.500 0.500 0.500


Record 11
A plane-wave DFT calculation with PBE-GGA was carried out for a relaxed structure of ReSn3I.

The magnetic moment is 0.00 Bohr magnetons per cell. The value obtained for the formation energy without anion corrections is 0.0151 eV/atom. Its symmetry is Pm-3m (221). The electronic total energy is -5.1862 eV/atom. The mass density comes out at 7.639 Mg/m³.

a = 5.259 Å, b = 5.259 Å, c = 5.259 Å
α = 90.00°, β = 90.00°, γ = 90.00°
Fractional coordinates of all 5 atoms:
Re 0.000 0.000 0.000
Sn 0.000 0.000 0.500
Sn 0.000 0.500 0.000
Sn 0.500 0.000 0.000
I 0.500 0.500 0.500


Record 12
A plane-wave DFT calculation with PBE-GGA was carried out for a relaxed structure of CaNbFeN3.

The magnetic moment is 0.00 Bohr magnetons per cell. The value obtained for the formation energy without anion corrections is -0.7297 eV/atom. Its symmetry is P2_1/m (11). The electronic total energy is -8.3147 eV/atom. The mass density comes out at 4.968 Mg/m³.

a = 6.729 Å, b = 3.169 Å, c = 7.467 Å
α = 90.00°, β = 104.23°, γ = 90.00°
Fractional coordinates of all 12 atoms:
Ca 0.182 0.250 0.196
Ca 0.818 0.750 0.804
Nb 0.339 0.750 0.855
Nb 0.661 0.250 0.145
Fe 0.098 0.250 0.601
Fe 0.902 0.750 0.399
N 0.123 0.250 0.860
N 0.189 0.750 0.529
N 0.432 0.750 0.143
N 0.568 0.250 0.857
N 0.811 0.250 0.471
N 0.877 0.750 0.140